(1)
Cu2PtCl: optimized geometry, PBEsol.

abc: 4.2882 4.2882 4.2882
angles: 60.00 60.00 60.00
Positions (direct):
Cu1 0.7500 0.7500 0.7500
Cu2 0.0000 0.0000 0.0000
Pt1 0.2500 0.2500 0.2500
Cl1 0.5000 0.5000 0.5000

* calculated total energy: -3.95 eV per atom
* E_form (uncorrected): 457 meV per atom
* DOS at the Fermi energy: 1.24 states/eV per atom

***

(2)
KFeCu: optimized geometry, PBEsol.

abc: 3.2206 3.2206 6.4188
angles: 104.53 104.53 90.00
Positions (direct):
Cu1 0.9469 0.9469 0.8938
K1 0.6630 0.6630 0.3260
Fe1 0.3901 0.3901 0.7803

* calculated total energy: -3.98 eV per atom
* DOS at the Fermi energy: 1.19 states/eV per atom
* calculated formation energy: 2.50 eV/f.u.

***

(3)
Cd2C: optimized geometry, PBEsol.

abc: 3.2170 5.5235 6.5343
angles: 84.64 75.75 73.07
Positions (direct):
Cd1 0.8949 0.8767 0.3336
Cd2 0.1051 0.1233 0.6664
Cd3 0.7549 0.6754 0.8148
Cd4 0.2451 0.3246 0.1852
C1 0.4132 0.3487 0.8250
C2 0.5868 0.6513 0.1750

* calculated total energy: -2.70 eV per atom
* DOS at the Fermi energy: 0.29 states/eV per atom
* calculated formation energy: 3.92 eV/f.u.

***

(4)
RbPrF4: optimized geometry, PBEsol.

abc: 3.7693 6.3406 16.0399
angles: 90.00 90.00 90.00
Positions (direct):
Pr1 0.2500 0.2522 0.9426
Pr2 0.7500 0.2478 0.4426
Pr3 0.7500 0.7478 0.0574
Pr4 0.2500 0.7522 0.5574
F1 0.2500 0.0007 0.0558
F2 0.7500 0.9024 0.1873
F3 0.7500 0.4024 0.3127
F4 0.7500 0.4993 0.5558
F5 0.2500 0.0976 0.8127
F6 0.2500 0.5976 0.6873
F7 0.2500 0.6337 0.9637
F8 0.7500 0.8663 0.4637
F9 0.7500 0.3928 0.8706
F10 0.2500 0.6072 0.1294
F11 0.2500 0.1337 0.5363
F12 0.7500 0.3663 0.0363
F13 0.2500 0.1072 0.3706
F14 0.7500 0.8928 0.6294
F15 0.7500 0.9993 0.9442
F16 0.2500 0.5007 0.4442
Rb1 0.2500 0.7221 0.2983
Rb2 0.7500 0.7779 0.7983
Rb3 0.7500 0.2779 0.7017
Rb4 0.2500 0.2221 0.2017

* calculated total energy: -6.01 eV per atom
* E_form (uncorrected): -3695 meV per atom
* DOS at the Fermi energy: 0.00 states/eV per atom

***

(5)
Er6Mn23: optimized geometry, PBEsol.

abc: 8.2419 8.2419 8.2419
angles: 60.00 60.00 60.00
Positions (direct):
Mn1 0.0310 0.3230 0.3230
Mn2 0.3230 0.3230 0.3230
Mn3 0.8783 0.3651 0.8783
Mn4 0.1217 0.1217 0.1217
Mn5 0.1217 0.1217 0.6349
Mn6 0.8783 0.8783 0.8783
Mn7 0.0000 0.5000 0.0000
Mn8 0.3651 0.8783 0.8783
Mn9 0.0000 0.5000 0.5000
Mn10 0.6770 0.6770 0.6770
Mn11 0.0000 0.0000 0.0000
Mn12 0.6770 0.6770 0.9690
Mn13 0.3230 0.0310 0.3230
Mn14 0.6770 0.9690 0.6770
Mn15 0.9690 0.6770 0.6770
Mn16 0.5000 0.0000 0.0000
Mn17 0.3230 0.3230 0.0310
Mn18 0.0000 0.0000 0.5000
Mn19 0.1217 0.6349 0.1217
Mn20 0.6349 0.1217 0.1217
Mn21 0.5000 0.5000 0.0000
Mn22 0.5000 0.0000 0.5000
Mn23 0.8783 0.8783 0.3651
Er1 0.7046 0.2954 0.7046
Er2 0.2954 0.7046 0.2954
Er3 0.7046 0.7046 0.2954
Er4 0.2954 0.2954 0.7046
Er5 0.7046 0.2954 0.2954
Er6 0.2954 0.7046 0.7046

* calculated total energy: -8.71 eV per atom
* DOS at the Fermi energy: 1.03 states/eV per atom
* calculated formation energy: 1.47 eV/f.u.

***

(6)
LiNiBO3: optimized geometry, PBEsol.

abc: 3.0099 7.9131 7.9131
angles: 120.00 90.00 90.00
Positions (direct):
Li1 0.0000 0.6746 0.6327
Li2 0.0000 0.9581 0.3254
Li3 0.0000 0.3673 0.0419
Ni1 0.5000 0.6524 0.9473
Ni2 0.5000 0.2949 0.3476
Ni3 0.5000 0.0527 0.7051
O1 0.5000 0.7754 0.5352
O2 0.0000 0.1208 0.1998
O3 0.0000 0.8002 0.9211
O4 0.5000 0.1474 0.5097
O5 0.5000 0.3624 0.8526
O6 0.5000 0.4648 0.2402
O7 0.5000 0.4903 0.6376
O8 0.5000 0.7598 0.2246
O9 0.0000 0.0789 0.8792
B1 0.0000 0.0000 0.0000
B2 0.5000 0.3333 0.6667
B3 0.5000 0.6667 0.3333

* calculated total energy: -6.84 eV per atom
* E_form (uncorrected): -1691 meV per atom
* DOS at the Fermi energy: 0.30 states/eV per atom

***

(7)
La3Sc: optimized geometry, PBEsol.

abc: 4.9952 4.9952 4.9952
angles: 90.00 90.00 90.00
Positions (direct):
La1 0.0000 0.0000 0.5000
La2 0.0000 0.5000 0.0000
La3 0.5000 0.0000 0.0000
Sc1 0.5000 0.5000 0.5000

* calculated total energy: -5.63 eV per atom
* DOS at the Fermi energy: 1.16 states/eV per atom
* calculated formation energy: 0.12 eV/f.u.

***

(8)
ZrCr2Ge2: optimized geometry, PBEsol.

abc: 4.3644 4.3644 5.1027
angles: 115.32 115.32 90.00
Positions (direct):
Ge1 0.2500 0.7500 0.5000
Ge2 0.7500 0.2500 0.5000
Cr1 0.3830 0.3830 0.7661
Cr2 0.6170 0.6170 0.2339
Zr1 0.0000 0.0000 0.0000

* calculated total energy: -7.96 eV per atom
* DOS at the Fermi energy: 0.72 states/eV per atom
* calculated formation energy: -0.36 eV/f.u.

***

(9)
CsCuMo2: optimized geometry, PBEsol.

abc: 4.5463 4.5463 4.5463
angles: 60.00 60.00 60.00
Positions (direct):
Cs1 0.5000 0.5000 0.5000
Mo1 0.2500 0.2500 0.2500
Mo2 0.7500 0.7500 0.7500
Cu1 0.0000 0.0000 0.0000

* calculated total energy: -5.36 eV per atom
* DOS at the Fermi energy: 1.11 states/eV per atom
* calculated formation energy: 7.38 eV/f.u.

***

(10)
Sr2SmCu3Pb2O8: optimized geometry, PBEsol.

abc: 3.7969 3.7969 15.7336
angles: 90.00 90.00 90.00
Positions (direct):
O1 0.5000 0.0000 0.0957
O2 0.5000 0.5000 0.7489
O3 0.0000 0.5000 0.0957
O4 0.0000 0.0000 0.6165
O5 0.5000 0.5000 0.2511
O6 0.5000 0.0000 0.9043
O7 0.0000 0.5000 0.9043
O8 0.0000 0.0000 0.3835
Cu1 0.5000 0.5000 0.8932
Cu2 0.5000 0.5000 0.1068
Cu3 0.0000 0.0000 0.5000
Sr1 0.0000 0.0000 0.7784
Sr2 0.0000 0.0000 0.2216
Sm1 0.0000 0.0000 0.0000
Pb1 0.5000 0.5000 0.6116
Pb2 0.5000 0.5000 0.3884

* calculated total energy: -6.22 eV per atom
* E_form (uncorrected): -1731 meV per atom
* DOS at the Fermi energy: 0.14 states/eV per atom

***

(11)
TlAgTe2: optimized geometry, PBEsol.

abc: 3.6449 5.6732 6.0971
angles: 117.73 107.39 90.00
Positions (direct):
Tl1 0.5144 0.5144 0.0289
Te1 0.7287 0.2287 0.4574
Te2 0.9846 0.9846 0.9693
Ag1 0.2722 0.7722 0.5445

* calculated total energy: -3.13 eV per atom
* E_form (uncorrected): 120 meV per atom
* DOS at the Fermi energy: 0.37 states/eV per atom

***

(12)
In2CuTc: optimized geometry, PBEsol.

abc: 2.9284 4.1247 5.6479
angles: 90.00 90.00 90.00
Positions (direct):
Tc1 0.0000 0.0000 0.4933
In1 0.5000 0.5000 0.2899
In2 0.0000 0.0000 0.9680
Cu1 0.5000 0.5000 0.7488

* calculated total energy: -5.04 eV per atom
* DOS at the Fermi energy: 0.73 states/eV per atom
* calculated formation energy: 1.42 eV/f.u.

***

- What is the calculated total energy in the third record?
  -2.70 eV per atom